Computed, not measured: a relaxed TmNiW crystal at the PBE-GGA level of DFT.

- E above lowest polymorph (meV per atom) = 955
- uncorrected energy (eV/cell) = -18.4
- formation enthalpy at 0 K (eV/f.u.) = 4.592
- spin magnetization (μB per formula unit) = 2.7

The structure in POSCAR format:
```
TmNiW
1.0
0.000 3.166 3.166
3.166 0.000 3.166
3.166 3.166 0.000
Tm Ni W
1 1 1
Cartesian
0.000 0.000 0.000
4.749 4.749 4.749
1.583 1.583 1.583
```